1.
Entry from Alexandria via LeMat-Bulk: LiFeSeI2 at its PBEsol-relaxed geometry (meta-GGA SCAN).

Results
Raw total energy (eV/atom): -23.07
Formation energy without anion corrections (meV per atom): -255
Crystal system: tetragonal
D(E_F) (states/eV per atom): 0.49
ρ (g cm⁻³): 4.66
SG: P4/mmm (123)

a b c (Å): 5.558 5.558 4.563
angles (deg): 90.00 90.00 90.00
Positions (direct):
Li  0.000  0.000  0.000
Fe  0.500  0.500  0.500
Se  0.500  0.500  0.000
I  0.000  0.500  0.500
I  0.500  0.000  0.500

2.
Entry from Alexandria via LeMat-Bulk: AlInBi2H at its PBEsol-relaxed geometry (meta-GGA SCAN).

Results
Raw total energy (eV/atom): -39.49
Crystal system: tetragonal
D(E_F) (states/eV per atom): 0.61
ρ (g cm⁻³): 6.10
SG: P4/mmm (123)

a b c (Å): 5.360 5.360 5.316
angles (deg): 90.00 90.00 90.00
Positions (direct):
Al  0.000  0.000  0.000
In  0.000  0.000  0.500
Bi  0.000  0.500  0.000
Bi  0.500  0.000  0.000
H  0.500  0.500  0.500

3.
Entry from Alexandria via LeMat-Bulk: Ba4NiPb at its PBEsol-relaxed geometry (meta-GGA SCAN).

Results
Raw total energy (eV/atom): -41.10
Crystal system: cubic
Energy relative to the elements (eV per formula unit): 3.6
D(E_F) (states/eV per atom): 0.85
ρ (g cm⁻³): 5.94
SG: F-43m (216)

a b c (Å): 6.856 6.856 6.856
angles (deg): 60.00 60.00 60.00
Positions (direct):
Ba  0.125  0.125  0.125
Ba  0.125  0.125  0.625
Ba  0.125  0.625  0.125
Ba  0.625  0.125  0.125
Ni  0.750  0.750  0.750
Pb  0.500  0.500  0.500

4.
Entry from Alexandria via LeMat-Bulk: YTiOs2 at its PBEsol-relaxed geometry (meta-GGA SCAN).

Results
Raw total energy (eV/atom): -47.27
Crystal system: cubic
Energy relative to the elements (eV per formula unit): -1.4
D(E_F) (states/eV per atom): 0.46
ρ (g cm⁻³): 13.04
SG: Fm-3m (225)

a b c (Å): 4.533 4.533 4.533
angles (deg): 60.00 60.00 60.00
Positions (direct):
Y  0.000  0.000  0.000
Ti  0.500  0.500  0.500
Os  0.250  0.250  0.250
Os  0.750  0.750  0.750

5.
Entry from Alexandria via LeMat-Bulk: SrTaRu3 at its PBEsol-relaxed geometry (meta-GGA SCAN).

Results
Raw total energy (eV/atom): -35.88
Crystal system: cubic
Energy relative to the elements (eV per formula unit): 13.9
D(E_F) (states/eV per atom): 0.60
ρ (g cm⁻³): 9.84
SG: Pm-3m (221)

a b c (Å): 4.587 4.587 4.587
angles (deg): 90.00 90.00 90.00
Positions (direct):
Sr  0.000  0.000  0.000
Ta  0.500  0.500  0.500
Ru  0.000  0.000  0.500
Ru  0.000  0.500  0.000
Ru  0.500  0.000  0.000

6.
Entry from Alexandria via LeMat-Bulk: ScIN2F at its PBEsol-relaxed geometry (meta-GGA SCAN).

Results
Raw total energy (eV/atom): -13.99
Formation energy without anion corrections (meV per atom): 628
Crystal system: tetragonal
Polymorph energy (0 for the lowest one) (eV per atom): 0.219
D(E_F) (states/eV per atom): 0.54
ρ (g cm⁻³): 4.83
SG: P4/mmm (123)

a b c (Å): 4.206 4.206 4.252
angles (deg): 90.00 90.00 90.00
Positions (direct):
Sc  0.000  0.000  0.000
I  0.500  0.500  0.500
N  0.000  0.500  0.500
N  0.500  0.000  0.500
F  0.500  0.500  0.000

7.
Entry from Alexandria via LeMat-Bulk: Sr2Be2Si at its PBEsol-relaxed geometry (meta-GGA SCAN).

Results
Raw total energy (eV/atom): -12.44
Formation energy without anion corrections (meV per atom): 210
Crystal system: tetragonal
D(E_F) (states/eV per atom): 0.52
ρ (g cm⁻³): 3.27
SG: I4/mmm (139)

a b c (Å): 5.272 5.272 5.272
angles (deg): 111.68 111.68 105.13
Positions (direct):
Sr  0.250  0.750  0.500
Sr  0.750  0.250  0.500
Be  0.157  0.157  0.000
Be  0.843  0.843  0.000
Si  0.500  0.500  0.000

8.
Entry from Alexandria via LeMat-Bulk: BeAgPt2 at its PBEsol-relaxed geometry (meta-GGA SCAN).

Results
Raw total energy (eV/atom): -44.45
Crystal system: trigonal
Energy relative to the elements (eV per formula unit): -1.7
D(E_F) (states/eV per atom): 0.45
ρ (g cm⁻³): 15.29
SG: R-3m (166)

a b c (Å): 8.467 8.467 8.467
angles (deg): 18.79 18.79 18.79
Positions (direct):
Be  0.000  0.000  0.000
Ag  0.500  0.500  0.500
Pt  0.264  0.264  0.264
Pt  0.736  0.736  0.736

9.
Entry from Alexandria via LeMat-Bulk: CaLa2Cd at its PBEsol-relaxed geometry (meta-GGA SCAN).

Results
Raw total energy (eV/atom): -31.74
Crystal system: tetragonal
Energy relative to the elements (eV per formula unit): -0.7
D(E_F) (states/eV per atom): 0.82
ρ (g cm⁻³): 5.51
SG: P4/mmm (123)

a b c (Å): 4.035 4.035 7.959
angles (deg): 90.00 90.00 90.00
Positions (direct):
Ca  0.000  0.000  0.000
La  0.500  0.500  0.285
La  0.500  0.500  0.715
Cd  0.000  0.000  0.500

10.
Entry from Alexandria via LeMat-Bulk: TiRh3F at its PBEsol-relaxed geometry (meta-GGA SCAN).

Results
Raw total energy (eV/atom): -23.31
Formation energy without anion corrections (meV per atom): 870
Crystal system: cubic
Polymorph energy (0 for the lowest one) (eV per atom): 0.591
D(E_F) (states/eV per atom): 1.71
ρ (g cm⁻³): 6.89
SG: Pm-3m (221)

a b c (Å): 4.490 4.490 4.490
angles (deg): 90.00 90.00 90.00
Positions (direct):
Ti  0.000  0.000  0.000
Rh  0.000  0.000  0.500
Rh  0.000  0.500  0.000
Rh  0.500  0.000  0.000
F  0.500  0.500  0.500

11.
Entry from Alexandria via LeMat-Bulk: KNbIN2 at its PBEsol-relaxed geometry (meta-GGA SCAN).

Results
Raw total energy (eV/atom): -19.47
Formation energy without anion corrections (meV per atom): -113
Crystal system: tetragonal
Polymorph energy (0 for the lowest one) (eV per atom): 0.000
D(E_F) (states/eV per atom): 0.07
ρ (g cm⁻³): 4.73
SG: P4/mmm (123)

a b c (Å): 4.188 4.188 5.741
angles (deg): 90.00 90.00 90.00
Positions (direct):
K  0.000  0.000  0.000
Nb  0.500  0.500  0.500
I  0.500  0.500  0.000
N  0.000  0.500  0.500
N  0.500  0.000  0.500

12.
Entry from Alexandria via LeMat-Bulk: ScTeH3 at its PBEsol-relaxed geometry (meta-GGA SCAN).

Results
Raw total energy (eV/atom): -11.65
Crystal system: cubic
D(E_F) (states/eV per atom): 0.75
ρ (g cm⁻³): 4.52
SG: Pm-3m (221)

a b c (Å): 4.011 4.011 4.011
angles (deg): 90.00 90.00 90.00
Positions (direct):
Sc  0.000  0.000  0.000
Te  0.500  0.500  0.500
H  0.000  0.500  0.500
H  0.500  0.000  0.500
H  0.500  0.500  0.000